# Zr2FeHg

Zr2FeHg after structural relaxation (PBE, Alexandria via LeMat-Bulk).

Calculated values
E in eV/atom: -6.490
Formation enthalpy at 0 K in eV per atom: -0.0246

Unit cell a=3.4020 b=4.2660 c=5.6768 alpha=90.00 beta=107.39 gamma=90.00
Last column: nearest neighbours and their distance in Å.
Sites, in units of the cell vectors:
Zr: 0.0000 0.0000 0.0000  4 Fe 2.78, 3 Hg 2.94-3.02
Zr: 0.3221 0.5000 0.6477  1 Fe 2.43
Fe: 0.5487 0.5000 0.0960  1 Zr 2.43
Hg: 0.7208 0.0000 0.4431  2 Fe 2.84, 7 Zr 2.94-3.02

# Al2FeRh

Al2FeRh after structural relaxation (PBE, Alexandria via LeMat-Bulk).

Calculated values
E in eV/atom: -6.234
Formation enthalpy at 0 K in eV per atom: -0.4092

Unit cell a=8.2275 b=8.2275 c=8.2275 alpha=19.69 beta=19.69 gamma=19.69
Last column: nearest neighbours and their distance in Å.
Sites, in units of the cell vectors:
Al: 0.2492 0.2492 0.2492  3 Rh 2.57, 3 Fe 2.60, 6 Al 2.81
Al: 0.7508 0.7508 0.7508  3 Rh 2.57, 3 Fe 2.60, 6 Al 2.81
Fe: 0.0000 0.0000 0.0000  6 Al 2.60, 6 Fe 2.81
Rh: 0.5000 0.5000 0.5000  6 Al 2.57, 6 Rh 2.81

# TlGeAu3

TlGeAu3 after structural relaxation (PBE, Alexandria via LeMat-Bulk).

Calculated values
Energy relative to the lowest polymorph listed for this composition in meV/atom: 859.2
E in eV/atom: -2.519
Formation enthalpy at 0 K in eV per atom: 0.8437

Unit cell a=5.2347 b=5.2347 c=5.2347 alpha=90.00 beta=90.00 gamma=90.00
Last column: nearest neighbours and their distance in Å.
Sites, in units of the cell vectors:
Tl: 0.0000 0.0000 0.0000  6 Au 2.62
Ge: 0.5000 0.5000 0.5000  12 Au 3.70
Au: 0.0000 0.0000 0.5000  2 Tl 2.62
Au: 0.0000 0.5000 0.0000  2 Tl 2.62
Au: 0.5000 0.0000 0.0000  2 Tl 2.62

# Pm10Pr6Th

Pm10Pr6Th after structural relaxation (PBE, Alexandria via LeMat-Bulk).

Calculated values
E in eV/atom: -4.776
Formation enthalpy at 0 K in eV per atom: 0.1423

Unit cell a=9.9108 b=9.9108 c=7.0920 alpha=90.00 beta=90.00 gamma=120.00
Last column: nearest neighbours and their distance in Å.
Sites, in units of the cell vectors:
Pm: 0.0000 0.2706 0.1851  5 Pr 3.42-3.79, 1 Th 3.49, 2 Pm 3.75
Pm: 0.0000 0.7294 0.8149  5 Pr 3.42-3.79, 1 Th 3.49, 2 Pm 3.75
Pm: 0.2706 0.0000 0.1851  5 Pr 3.42-3.79, 1 Th 3.49, 2 Pm 3.75
Pm: 0.2706 0.2706 0.8149  5 Pr 3.42-3.79, 1 Th 3.49, 2 Pm 3.75
Pm: 0.3333 0.6667 0.0000  8 Pm 3.55-3.88, 6 Pr 3.78
Pm: 0.3333 0.6667 0.5000  6 Pr 3.42, 2 Pm 3.55
Pm: 0.6667 0.3333 0.0000  8 Pm 3.55-3.88, 6 Pr 3.78
Pm: 0.6667 0.3333 0.5000  6 Pr 3.42, 2 Pm 3.55
Pm: 0.7294 0.0000 0.8149  5 Pr 3.42-3.79, 1 Th 3.49, 2 Pm 3.75
Pm: 0.7294 0.7294 0.1851  5 Pr 3.42-3.79, 1 Th 3.49, 2 Pm 3.75
Pr: 0.0000 0.3747 0.6993  9 Pm 3.42-3.79, 1 Pr 3.76
Pr: 0.0000 0.6253 0.3007  9 Pm 3.42-3.79, 1 Pr 3.76
Pr: 0.3747 0.0000 0.6993  9 Pm 3.42-3.79, 1 Pr 3.76
Pr: 0.3747 0.3747 0.3007  9 Pm 3.42-3.79, 1 Pr 3.76
Pr: 0.6253 0.0000 0.3007  9 Pm 3.42-3.79, 1 Pr 3.76
Pr: 0.6253 0.6253 0.6993  9 Pm 3.42-3.79, 1 Pr 3.76
Th: 0.0000 0.0000 0.5000  6 Pm 3.49

# Cr2TcSb

Cr2TcSb after structural relaxation (PBE, Alexandria via LeMat-Bulk).

Calculated values
E in eV/atom: -8.089
Formation energy (no corrections) in eV per atom: 0.345

Unit cell a=2.9408 b=3.8868 c=5.3121 alpha=90.00 beta=90.00 gamma=90.00
Last column: nearest neighbours and their distance in Å.
Sites, in units of the cell vectors:
Cr: 0.0000 0.0000 0.0000  2 Sb 2.62-2.69, 4 Cr 2.68, 4 Tc 2.68
Cr: 0.5000 0.5000 0.2085  1 Tc 2.22
Tc: 0.5000 0.5000 0.7899  1 Cr 2.22
Sb: 0.0000 0.0000 0.4929  6 Cr 2.62-2.87, 4 Tc 2.90

# ReMo2

ReMo2 after structural relaxation (PBE, Alexandria via LeMat-Bulk).

Calculated values
Energy relative to the lowest polymorph listed for this composition in meV/atom: 191.2
E in eV/atom: -11.135
Formation enthalpy at 0 K in eV per atom: 0.2350

Unit cell a=6.3445 b=6.3445 c=6.3445 alpha=154.53 beta=154.53 gamma=36.33
Last column: nearest neighbours and their distance in Å.
Sites, in units of the cell vectors:
Re: 0.0000 0.0000 0.0000  8 Mo 2.77, 4 Re 2.80
Mo: 0.3387 0.3387 0.0000  4 Re 2.77, 8 Mo 2.80-2.91
Mo: 0.6613 0.6613 0.0000  4 Re 2.77, 8 Mo 2.80-2.91

# Li2SbPt

Li2SbPt after structural relaxation (PBE, Alexandria via LeMat-Bulk).

Calculated values
E in eV/atom: -4.179
Formation energy (no corrections) in eV per atom: -0.681

Unit cell a=4.4973 b=4.4973 c=4.4973 alpha=120.08 beta=120.08 gamma=89.86
Last column: nearest neighbours and their distance in Å.
Sites, in units of the cell vectors:
Li: 0.0000 0.0000 0.0000  4 Li 2.75, 4 Pt 2.75
Li: 0.7500 0.2500 0.5000  4 Sb 2.75, 4 Li 2.75
Sb: 0.5000 0.5000 0.0000  4 Li 2.75, 4 Pt 2.75
Pt: 0.2500 0.7500 0.5000  4 Sb 2.75, 4 Li 2.75

# NiAu2

NiAu2 after structural relaxation (PBE, Alexandria via LeMat-Bulk).

Calculated values
E in eV/atom: -3.638
Formation enthalpy at 0 K in eV per atom: 0.4742

Unit cell a=6.0328 b=6.0328 c=6.0328 alpha=90.00 beta=90.00 gamma=90.00
Last column: nearest neighbours and their distance in Å.
Sites, in units of the cell vectors:
Ni: 0.0000 0.0000 0.0000  6 Au 2.48
Ni: 0.0000 0.5000 0.5000  6 Au 2.48
Ni: 0.5000 0.0000 0.5000  6 Au 2.48
Ni: 0.5000 0.5000 0.0000  6 Au 2.48
Au: 0.1360 0.6360 0.8640  3 Ni 2.48
Au: 0.1360 0.8640 0.3640  3 Ni 2.48
Au: 0.3640 0.1360 0.8640  3 Ni 2.48
Au: 0.3640 0.3640 0.3640  3 Ni 2.48
Au: 0.6360 0.6360 0.6360  3 Ni 2.48
Au: 0.6360 0.8640 0.1360  3 Ni 2.48
Au: 0.8640 0.1360 0.6360  3 Ni 2.48
Au: 0.8640 0.3640 0.1360  3 Ni 2.48

# TbNd2TmTl4

TbNd2TmTl4 after structural relaxation (PBE, Alexandria via LeMat-Bulk).

Calculated values
E in eV/atom: -3.866
Formation enthalpy at 0 K in eV per atom: -0.3530

Unit cell a=9.4370 b=9.4370 c=9.4370 alpha=33.47 beta=33.47 gamma=33.47
Last column: nearest neighbours and their distance in Å.
Sites, in units of the cell vectors:
Tb: 0.0000 0.0000 0.0000  8 Tl 3.33-3.35
Nd: 0.2494 0.2494 0.2494  8 Tl 3.31-3.37
Nd: 0.7506 0.7506 0.7506  8 Tl 3.31-3.37
Tm: 0.5000 0.5000 0.5000  8 Tl 3.32-3.33
Tl: 0.1254 0.1254 0.1254  4 Nd 3.31-3.33, 3 Tm 3.32, 1 Tb 3.35
Tl: 0.3755 0.3755 0.3755  1 Tm 3.33, 4 Nd 3.33-3.37, 3 Tb 3.33
Tl: 0.6245 0.6245 0.6245  1 Tm 3.33, 4 Nd 3.33-3.37, 3 Tb 3.33
Tl: 0.8746 0.8746 0.8746  4 Nd 3.31-3.33, 3 Tm 3.32, 1 Tb 3.35

# PaZn3Tc2

PaZn3Tc2 after structural relaxation (PBE, Alexandria via LeMat-Bulk).

Calculated values
E in eV/atom: -5.648
Formation enthalpy at 0 K in eV per atom: 0.0265

Unit cell a=5.0156 b=5.0156 c=8.4913 alpha=99.34 beta=99.34 gamma=98.26
Last column: nearest neighbours and their distance in Å.
Sites, in units of the cell vectors:
Pa: 0.0212 0.9788 0.7500  2 Tc 2.52
Pa: 0.9788 0.0212 0.2500  2 Tc 2.52
Zn: 0.2328 0.5514 0.9532  2 Zn 2.47-2.60, 2 Tc 2.63-2.69
Zn: 0.3870 0.6130 0.2500  2 Zn 2.47, 4 Tc 2.68-2.75
Zn: 0.4486 0.7672 0.5468  2 Zn 2.47-2.60, 2 Tc 2.63-2.69
Zn: 0.5514 0.2328 0.4532  2 Zn 2.47-2.60, 2 Tc 2.63-2.69
Zn: 0.6130 0.3870 0.7500  2 Zn 2.47, 4 Tc 2.68-2.75
Zn: 0.7672 0.4486 0.0468  2 Zn 2.47-2.60, 2 Tc 2.63-2.69
Tc: 0.0896 0.4036 0.6276  1 Pa 2.52, 1 Tc 2.60, 5 Zn 2.63-2.80
Tc: 0.4036 0.0896 0.1276  1 Pa 2.52, 1 Tc 2.60, 5 Zn 2.63-2.80
Tc: 0.5964 0.9104 0.8724  1 Pa 2.52, 1 Tc 2.60, 5 Zn 2.63-2.80
Tc: 0.9104 0.5964 0.3724  1 Pa 2.52, 1 Tc 2.60, 5 Zn 2.63-2.80

# Dy3Ge7Ir2

Dy3Ge7Ir2 after structural relaxation (PBE, Alexandria via LeMat-Bulk).

Calculated values
E in eV/atom: -5.951
Formation enthalpy at 0 K in eV per atom: -0.6300

Unit cell a=4.3073 b=4.2586 c=13.1092 alpha=90.00 beta=99.45 gamma=90.00
Last column: nearest neighbours and their distance in Å.
Sites, in units of the cell vectors:
Dy: 0.0000 0.0000 0.0000  12 Ge 3.03-3.08, 2 Ir 3.39
Dy: 0.3184 0.5000 0.6362  10 Ge 3.22-3.32, 4 Ir 3.30-3.31
Dy: 0.6816 0.5000 0.3638  10 Ge 3.22-3.32, 4 Ir 3.30-3.31
Ge: 0.0846 0.5000 0.1684  2 Ir 2.45
Ge: 0.2241 0.0000 0.4478  1 Ir 2.40, 2 Ge 2.54
Ge: 0.4140 0.0000 0.8303  2 Ir 2.46
Ge: 0.5000 0.5000 0.0000  4 Dy 3.03, 8 Ge 3.06
Ge: 0.5860 0.0000 0.1697  2 Ir 2.46
Ge: 0.7759 0.0000 0.5522  1 Ir 2.40, 2 Ge 2.54
Ge: 0.9154 0.5000 0.8316  2 Ir 2.45
Ir: 0.1323 0.0000 0.2621  5 Ge 2.40-2.46
Ir: 0.8677 0.0000 0.7379  5 Ge 2.40-2.46

# LaTb3Y6Tm2

LaTb3Y6Tm2 after structural relaxation (PBE, Alexandria via LeMat-Bulk).

Calculated values
E in eV/atom: -5.522
Formation enthalpy at 0 K in eV per atom: 0.0232

Unit cell a=6.1808 b=6.1808 c=11.8406 alpha=94.98 beta=94.98 gamma=119.97
Last column: nearest neighbours and their distance in Å.
Sites, in units of the cell vectors:
La: 0.0000 0.0000 0.0000  6 Tm 3.57, 6 Y 3.58-3.59
Tb: 0.1672 0.8328 0.5000  6 Y 3.55-3.56, 6 Tb 3.56-3.58
Tb: 0.5000 0.5000 0.5000  6 Y 3.55-3.56, 6 Tb 3.56-3.57
Tb: 0.8328 0.1672 0.5000  6 Y 3.55-3.56, 6 Tb 3.56-3.58
Y: 0.0844 0.4192 0.2511  3 Tb 3.55-3.56, 6 Y 3.56-3.59, 2 Tm 3.57-3.58, 1 La 3.59
Y: 0.2507 0.2507 0.7488  3 Tb 3.55-3.56, 6 Y 3.56-3.59, 2 Tm 3.58, 1 La 3.58
Y: 0.4192 0.0844 0.2511  3 Tb 3.55-3.56, 6 Y 3.56-3.59, 2 Tm 3.57-3.58, 1 La 3.59
Y: 0.5808 0.9156 0.7489  3 Tb 3.55-3.56, 6 Y 3.56-3.59, 2 Tm 3.57-3.58, 1 La 3.59
Y: 0.7493 0.7493 0.2512  3 Tb 3.55-3.56, 6 Y 3.56-3.59, 2 Tm 3.58, 1 La 3.58
Y: 0.9156 0.5808 0.7489  3 Tb 3.55-3.56, 6 Y 3.56-3.59, 2 Tm 3.57-3.58, 1 La 3.59
Tm: 0.3334 0.6666 0.0000  3 Tm 3.57, 3 La 3.57, 6 Y 3.57-3.58
Tm: 0.6666 0.3334 0.0000  3 Tm 3.57, 3 La 3.57, 6 Y 3.57-3.58

# NbVZn2S

NbVZn2S after structural relaxation (PBE, Alexandria via LeMat-Bulk).

Calculated values
E in eV/atom: -4.457
Formation energy (no corrections) in eV per atom: 0.716

Unit cell a=4.7263 b=4.7263 c=4.2513 alpha=90.00 beta=90.00 gamma=90.00
Last column: nearest neighbours and their distance in Å.
Sites, in units of the cell vectors:
Nb: 0.0000 0.0000 0.0000  8 Zn 3.18, 4 S 3.34
V: 0.5000 0.5000 0.5000  2 S 2.13, 4 Zn 2.36
Zn: 0.0000 0.5000 0.5000  2 V 2.36
Zn: 0.5000 0.0000 0.5000  2 V 2.36
S: 0.5000 0.5000 0.0000  2 V 2.13

# Tb5NdAu4

Tb5NdAu4 after structural relaxation (PBE, Alexandria via LeMat-Bulk).

Calculated values
E in eV/atom: -4.779
Formation enthalpy at 0 K in eV per atom: -0.6763

Unit cell a=3.5968 b=3.5968 c=19.8136 alpha=90.00 beta=90.00 gamma=90.00
Last column: nearest neighbours and their distance in Å.
Sites, in units of the cell vectors:
Tb: 0.0000 0.0000 0.0000  8 Au 3.14
Tb: 0.0000 0.0000 0.1851  8 Au 3.13-3.15
Tb: 0.0000 0.0000 0.3675  4 Au 3.09
Tb: 0.0000 0.0000 0.6325  4 Au 3.09
Tb: 0.0000 0.0000 0.8149  8 Au 3.13-3.15
Nd: 0.5000 0.5000 0.5000  4 Nd 3.60, 8 Tb 3.66
Au: 0.5000 0.5000 0.0927  8 Tb 3.13-3.14
Au: 0.5000 0.5000 0.2789  8 Tb 3.09-3.15
Au: 0.5000 0.5000 0.7211  8 Tb 3.09-3.15
Au: 0.5000 0.5000 0.9073  8 Tb 3.13-3.14

# LuThTlSn

LuThTlSn after structural relaxation (PBE, Alexandria via LeMat-Bulk).

Calculated values
E in eV/atom: -4.871
Formation enthalpy at 0 K in eV per atom: -0.2936

Unit cell a=5.3999 b=5.3999 c=5.3999 alpha=60.00 beta=60.00 gamma=60.00
Last column: nearest neighbours and their distance in Å.
Sites, in units of the cell vectors:
Lu: 0.0000 0.0000 0.0000  4 Tl 3.31, 4 Sn 3.31
Th: 0.5000 0.5000 0.5000  4 Tl 3.31, 4 Sn 3.31
Tl: 0.7500 0.7500 0.7500  4 Th 3.31, 4 Lu 3.31
Sn: 0.2500 0.2500 0.2500  4 Th 3.31, 4 Lu 3.31

# AcScIn

AcScIn after structural relaxation (PBE, Alexandria via LeMat-Bulk).

Calculated values
Energy relative to the lowest polymorph listed for this composition in meV/atom: 0.0
E in eV/atom: -4.720
Formation enthalpy at 0 K in eV per atom: -0.3271

Unit cell a=4.8725 b=4.8725 c=8.0865 alpha=90.00 beta=90.00 gamma=90.00
Last column: nearest neighbours and their distance in Å.
Sites, in units of the cell vectors:
Ac: 0.2500 0.2500 0.1546  5 In 3.50-3.59, 4 Sc 3.71
Ac: 0.7500 0.7500 0.8454  5 In 3.50-3.59, 4 Sc 3.71
Sc: 0.2500 0.7500 0.5000  4 In 3.02
Sc: 0.7500 0.2500 0.5000  4 In 3.02
In: 0.2500 0.2500 0.7217  4 Sc 3.02
In: 0.7500 0.7500 0.2783  4 Sc 3.02

# BeTc2Os

BeTc2Os after structural relaxation (PBE, Alexandria via LeMat-Bulk).

Calculated values
E in eV/atom: -8.831
Formation enthalpy at 0 K in eV per atom: 0.0913

Unit cell a=8.4165 b=8.4165 c=8.4165 alpha=18.66 beta=18.66 gamma=18.66
Last column: nearest neighbours and their distance in Å.
Sites, in units of the cell vectors:
Be: 0.0000 0.0000 0.0000  3 Os 2.46, 3 Tc 2.53, 6 Be 2.73
Tc: 0.5002 0.5002 0.5002  9 Tc 2.68-2.73, 3 Os 2.74
Tc: 0.7462 0.7462 0.7462  3 Be 2.53, 9 Tc 2.68-2.73
Os: 0.2573 0.2573 0.2573  3 Be 2.46, 6 Os 2.73, 3 Tc 2.74

# TaNb2HRu

TaNb2HRu after structural relaxation (PBE, Alexandria via LeMat-Bulk).

Calculated values
Energy relative to the lowest polymorph listed for this composition in meV/atom: 0.0
E in eV/atom: -9.040

Unit cell a=4.5127 b=4.5127 c=3.4980 alpha=90.00 beta=90.00 gamma=90.00
Last column: nearest neighbours and their distance in Å.
Sites, in units of the cell vectors:
Ta: 0.0000 0.0000 0.0000  8 Nb 2.85, 4 Ru 3.19
Nb: 0.0000 0.5000 0.5000  2 H 2.26
Nb: 0.5000 0.0000 0.5000  2 H 2.26
H: 0.5000 0.5000 0.5000  2 Ru 1.75
Ru: 0.5000 0.5000 0.0000  2 H 1.75

# Dy5In2Co

Dy5In2Co after structural relaxation (PBE, Alexandria via LeMat-Bulk).

Calculated values
Energy relative to the lowest polymorph listed for this composition in meV/atom: 142.8
E in eV/atom: -4.608
Formation enthalpy at 0 K in eV per atom: -0.1584

Unit cell a=6.6499 b=6.6499 c=6.6499 alpha=117.41 beta=117.41 gamma=94.55
Last column: nearest neighbours and their distance in Å.
Sites, in units of the cell vectors:
Dy: 0.0000 0.0000 0.0000  1 Co 3.20, 8 Dy 3.25-3.41, 4 In 3.46
Dy: 0.0162 0.0162 0.5030  1 Co 2.68
Dy: 0.0162 0.5132 0.0000  1 Co 2.68
Dy: 0.5132 0.0162 0.0000  1 Co 2.68
Dy: 0.5132 0.5132 0.4970  1 Co 2.68
In: 0.0184 0.5184 0.5000  10 Dy 3.30-3.46, 2 Co 3.64
In: 0.5184 0.0184 0.5000  10 Dy 3.30-3.46, 2 Co 3.64
Co: 0.6459 0.6459 0.0000  4 Dy 2.68

# CdSn3Pb

CdSn3Pb after structural relaxation (PBE, Alexandria via LeMat-Bulk).

Calculated values
Energy relative to the lowest polymorph listed for this composition in meV/atom: 683.3
E in eV/atom: -2.585
Formation enthalpy at 0 K in eV per atom: 0.7419

Unit cell a=5.8404 b=5.8404 c=5.8404 alpha=90.00 beta=90.00 gamma=90.00
Last column: nearest neighbours and their distance in Å.
Sites, in units of the cell vectors:
Cd: 0.0000 0.0000 0.0000  12 Sn 4.13
Sn: 0.0000 0.5000 0.5000  2 Pb 2.92
Sn: 0.5000 0.0000 0.5000  2 Pb 2.92
Sn: 0.5000 0.5000 0.0000  2 Pb 2.92
Pb: 0.5000 0.5000 0.5000  6 Sn 2.92